(1)
## Li7AlZn4 (PBE)

Data for a relaxed Li7AlZn4 crystal.

```
data_Li7AlZn4
_chemical_formula_sum 'Li14 Al2 Zn8'
_space_group_name_H-M_alt 'C 1 2/m 1'
_space_group_IT_number 12
_cell_length_a 12.661
_cell_length_b 4.786
_cell_length_c 7.777
_cell_angle_alpha 90.00
_cell_angle_beta 120.86
_cell_angle_gamma 90.00
loop_
_space_group_symop_operation_xyz
'x,y,z'
'-x,-y,-z'
'-x,y,-z'
'x,-y,z'
'x+1/2,y+1/2,z'
'-x+1/2,-y+1/2,-z'
'-x+1/2,y+1/2,-z'
'x+1/2,-y+1/2,z'
loop_
_atom_site_label
_atom_site_type_symbol
_atom_site_fract_x
_atom_site_fract_y
_atom_site_fract_z
Li1 Li 0.000 0.000 0.000
Li2 Li 0.081 0.500 0.424
Li3 Li 0.194 0.500 0.876
Li4 Li 0.247 0.500 0.280
Al1 Al 0.000 0.500 0.000
Zn1 Zn 0.043 0.000 0.698
Zn2 Zn 0.177 0.000 0.348
```

Properties
formation enthalpy at 0 K	-16	kJ/mol of formula units



(2)
## Dy5ErPd6 (PBE)

Data for a relaxed Dy5ErPd6 crystal.

```
data_Dy5ErPd6
_chemical_formula_sum 'Dy5 Er1 Pd6'
_space_group_name_H-M_alt 'P 1 2/m 1'
_space_group_IT_number 10
_cell_length_a 5.009
_cell_length_b 6.873
_cell_length_c 7.882
_cell_angle_alpha 90.00
_cell_angle_beta 108.26
_cell_angle_gamma 90.00
loop_
_space_group_symop_operation_xyz
'x,y,z'
'-x,-y,-z'
'-x,y,-z'
'x,-y,z'
loop_
_atom_site_label
_atom_site_type_symbol
_atom_site_fract_x
_atom_site_fract_y
_atom_site_fract_z
Dy1 Dy 0.000 0.000 0.000
Dy2 Dy 0.333 0.000 0.666
Dy3 Dy 0.333 0.500 0.667
Er1 Er 0.000 0.500 0.000
Pd1 Pd 0.165 0.251 0.331
Pd2 Pd 0.500 0.252 0.000
```

Properties
formation enthalpy at 0 K	-1031	kJ/mol of formula units



(3)
## Tb2Pm6NdTh (PBE)

Data for a relaxed Tb2Pm6NdTh crystal.

```
data_Tb2Pm6NdTh
_chemical_formula_sum 'Tb8 Pm24 Nd4 Th4'
_space_group_name_H-M_alt 'C 1 2/c 1'
_space_group_IT_number 15
_cell_length_a 9.323
_cell_length_b 15.049
_cell_length_c 9.848
_cell_angle_alpha 90.00
_cell_angle_beta 98.50
_cell_angle_gamma 90.00
loop_
_space_group_symop_operation_xyz
'x,y,z'
'-x,-y,-z'
'-x,y,-z+1/2'
'x,-y,z+1/2'
'x+1/2,y+1/2,z'
'-x+1/2,-y+1/2,-z'
'-x+1/2,y+1/2,-z+1/2'
'x+1/2,-y+1/2,z+1/2'
loop_
_atom_site_label
_atom_site_type_symbol
_atom_site_fract_x
_atom_site_fract_y
_atom_site_fract_z
Tb1 Tb 0.241 0.045 0.049
Pm1 Pm 0.068 0.177 0.442
Pm2 Pm 0.096 0.394 0.620
Pm3 Pm 0.202 0.220 0.816
Nd1 Nd 0.000 0.404 0.250
Th1 Th 0.000 0.027 0.750
```

Properties
formation enthalpy at 0 K	139	kJ/mol of formula units



(4)
## Pa2Si3Pd2 (PBE)

Data for a relaxed Pa2Si3Pd2 crystal.

```
data_Pa2Si3Pd2
_chemical_formula_sum 'Pa8 Si12 Pd8'
_space_group_name_H-M_alt 'C m c m'
_space_group_IT_number 63
_space_group_name_Hall '-C 2c 2'
_cell_length_a 4.197
_cell_length_b 17.865
_cell_length_c 6.836
_cell_angle_alpha 90.00
_cell_angle_beta 90.00
_cell_angle_gamma 90.00
loop_
_atom_site_label
_atom_site_type_symbol
_atom_site_fract_x
_atom_site_fract_y
_atom_site_fract_z
Pa1 Pa 0.000 0.052 0.250
Pa2 Pa 0.000 0.152 0.750
Si1 Si 0.000 0.220 0.250
Si2 Si 0.000 0.442 0.072
Pd1 Pd 0.000 0.310 0.548
```

Properties
energy relative to the elements, uncorrected	-718	meV/atom



(5)
## FePHS2 (PBE)

Data for a relaxed FePHS2 crystal.

```
data_FePHS2
_chemical_formula_sum 'Fe1 P1 H1 S2'
_space_group_name_H-M_alt 'P 4/m m m'
_space_group_IT_number 123
_space_group_name_Hall '-P 4 2'
_cell_length_a 4.302
_cell_length_b 4.302
_cell_length_c 3.147
_cell_angle_alpha 90.00
_cell_angle_beta 90.00
_cell_angle_gamma 90.00
loop_
_atom_site_label
_atom_site_type_symbol
_atom_site_fract_x
_atom_site_fract_y
_atom_site_fract_z
Fe1 Fe 0.000 0.000 0.000
P1 P 0.500 0.500 0.000
H1 H 0.500 0.500 0.500
S1 S 0.000 0.500 0.500
```

Properties
ΔE to the lowest computed polymorph	0.0	meV per atom



(6)
## CrFe3Ge (PBE)

Data for a relaxed CrFe3Ge crystal.

```
data_CrFe3Ge
_chemical_formula_sum 'Cr1 Fe3 Ge1'
_space_group_name_H-M_alt 'P m -3 m'
_space_group_IT_number 221
_space_group_name_Hall '-P 4 2 3'
_cell_length_a 4.246
_cell_length_b 4.246
_cell_length_c 4.246
_cell_angle_alpha 90.00
_cell_angle_beta 90.00
_cell_angle_gamma 90.00
loop_
_atom_site_label
_atom_site_type_symbol
_atom_site_fract_x
_atom_site_fract_y
_atom_site_fract_z
Cr1 Cr 0.000 0.000 0.000
Fe1 Fe 0.000 0.000 0.500
Ge1 Ge 0.500 0.500 0.500
```

Properties
formation enthalpy at 0 K	539	kJ/mol of formula units



(7)
## Mg2SnN2 (PBE)

Data for a relaxed Mg2SnN2 crystal.

```
data_Mg2SnN2
_chemical_formula_sum 'Mg8 Sn4 N8'
_space_group_name_H-M_alt 'C 1 2 1'
_space_group_IT_number 5
_cell_length_a 10.486
_cell_length_b 4.137
_cell_length_c 6.928
_cell_angle_alpha 90.00
_cell_angle_beta 109.60
_cell_angle_gamma 90.00
loop_
_space_group_symop_operation_xyz
'x,y,z'
'-x,y,-z'
'x+1/2,y+1/2,z'
'-x+1/2,y+1/2,-z'
loop_
_atom_site_label
_atom_site_type_symbol
_atom_site_fract_x
_atom_site_fract_y
_atom_site_fract_z
Mg1 Mg 0.006 0.000 0.205
Mg2 Mg 0.166 0.502 0.028
Sn1 Sn 0.171 0.442 0.578
N1 N 0.016 0.505 0.721
N2 N 0.167 0.003 0.090
```

Properties
energy relative to the elements, uncorrected	-341	meV/atom



(8)
## Ho3Ga8Pd3 (PBE)

Data for a relaxed Ho3Ga8Pd3 crystal.

```
data_Ho3Ga8Pd3
_chemical_formula_sum 'Ho6 Ga16 Pd6'
_space_group_name_H-M_alt 'C 1 2/m 1'
_space_group_IT_number 12
_cell_length_a 15.617
_cell_length_b 4.307
_cell_length_c 9.496
_cell_angle_alpha 90.00
_cell_angle_beta 126.38
_cell_angle_gamma 90.00
loop_
_space_group_symop_operation_xyz
'x,y,z'
'-x,-y,-z'
'-x,y,-z'
'x,-y,z'
'x+1/2,y+1/2,z'
'-x+1/2,-y+1/2,-z'
'-x+1/2,y+1/2,-z'
'x+1/2,-y+1/2,z'
loop_
_atom_site_label
_atom_site_type_symbol
_atom_site_fract_x
_atom_site_fract_y
_atom_site_fract_z
Ho1 Ho 0.000 0.000 0.000
Ho2 Ho 0.207 0.500 0.707
Ga1 Ga 0.002 0.500 0.678
Ga2 Ga 0.143 0.000 0.430
Ga3 Ga 0.148 0.000 0.865
Ga4 Ga 0.153 0.500 0.281
Pd1 Pd 0.000 0.000 0.500
Pd2 Pd 0.148 0.500 0.010
```

Properties
formation enthalpy at 0 K	-934	kJ/mol of formula units
ΔE to the lowest computed polymorph	14.4	meV per atom